Record 1
Material: ZrNpSe2O
Method: DFT, PBE
State: optimized geometry

Lattice parameters (Å, degrees): 3.821 3.821 13.472 90.00 90.00 90.00
Sites, in units of the cell vectors:
Zr: 0.250 0.250 0.084
Zr: 0.750 0.750 0.916
Np: 0.250 0.250 0.595
Np: 0.750 0.750 0.405
Se: 0.250 0.250 0.297
Se: 0.250 0.250 0.878
Se: 0.750 0.750 0.122
Se: 0.750 0.750 0.703
O: 0.250 0.750 0.500
O: 0.750 0.250 0.500


Record 2
Material: NpSiO5
Method: DFT, PBE
State: optimized geometry

Lattice parameters (Å, degrees): 5.605 5.605 7.952 110.18 110.18 90.84
Sites, in units of the cell vectors:
Np: 0.000 0.500 0.000
Np: 0.500 0.000 0.500
Si: 0.117 0.883 0.750
Si: 0.883 0.117 0.250
O: 0.140 0.669 0.850
O: 0.168 0.175 0.915
O: 0.175 0.168 0.415
O: 0.318 0.682 0.250
O: 0.331 0.860 0.650
O: 0.669 0.140 0.350
O: 0.682 0.318 0.750
O: 0.825 0.832 0.585
O: 0.832 0.825 0.085
O: 0.860 0.331 0.150


Number 1: VASP energy -8.54 eV/atom, D(E_F) 1.577 states/eV per atom. Number 2: VASP energy -8.84 eV/atom, D(E_F) 0.020 states/eV per atom.